# 1
## LiLa2Tb (PBE)

Data for a relaxed structure of LiLa2Tb.

relative energy among the computed polymorphs: 6 meV per atom
space group: No. 160
energy of formation from the pure elements: 71 meV per atom

Cell lengths 3.6398, 3.6398, 11.7142 Å; angles 81.06, 81.06, 60.00 degrees
With the nearest neighbours (Å) after each atom.
Fractional coordinates of all 4 atoms:
La1 0.0824 0.0824 0.7529  3 Li 3.52, 3 Tb 3.59, 6 La 3.64
La2 0.2507 0.2507 0.2478  3 Li 3.56, 3 Tb 3.59, 6 La 3.64
Tb1 0.4997 0.4997 0.5008  6 La 3.59, 6 Tb 3.64
Li1 0.6672 0.6672 0.9984  6 La 3.52-3.56, 6 Li 3.64



# 2
## ThIn2Ag (PBE)

Data for a relaxed structure of ThIn2Ag.

space group: No. 166
energy of formation from the pure elements: -159 meV per atom

Cell lengths 4.6910, 4.6910, 6.0345 Å; angles 67.13, 67.13, 60.00 degrees
With the nearest neighbours (Å) after each atom.
Fractional coordinates of all 4 atoms:
Th1 0.0000 0.0000 0.0000  8 In 3.25-3.60
In1 0.7775 0.7775 0.6674  3 Ag 2.85
In2 0.2225 0.2225 0.3326  3 Ag 2.85
Ag1 0.5000 0.5000 0.5000  6 In 2.85



# 3
## Ti5Tc4Rh (PBE)

Data for a relaxed structure of Ti5Tc4Rh.

space group: No. 123
energy of formation from the pure elements: -590 meV per atom

Cell lengths 3.1026, 3.1026, 15.5499 Å; angles 90.00, 90.00, 90.00 degrees
With the nearest neighbours (Å) after each atom.
Fractional coordinates of all 10 atoms:
Ti1 0.5000 0.5000 0.7002  8 Tc 2.69-2.70
Ti2 0.5000 0.5000 0.8958  4 Tc 2.64, 4 Rh 2.73
Ti3 0.5000 0.5000 0.5000  8 Tc 2.69
Ti4 0.5000 0.5000 0.1042  4 Tc 2.64, 4 Rh 2.73
Ti5 0.5000 0.5000 0.2998  8 Tc 2.69-2.70
Tc1 0.0000 0.0000 0.8012  8 Ti 2.64-2.70
Tc2 0.0000 0.0000 0.5998  8 Ti 2.69
Tc3 0.0000 0.0000 0.1988  8 Ti 2.64-2.70
Tc4 0.0000 0.0000 0.4002  8 Ti 2.69
Rh1 0.0000 0.0000 0.0000  8 Ti 2.73



# 4
## HoHfAgPt (PBE)

Data for a relaxed structure of HoHfAgPt.

space group: No. 216
energy of formation from the pure elements: -570 meV per atom

Cell lengths 4.8712, 4.8712, 4.8712 Å; angles 60.00, 60.00, 60.00 degrees
With the nearest neighbours (Å) after each atom.
Fractional coordinates of all 4 atoms:
Ag1 0.2500 0.2500 0.2500  4 Hf 2.98, 4 Ho 2.98
Ho1 0.0000 0.0000 0.0000  4 Pt 2.98, 4 Ag 2.98
Pt1 0.7500 0.7500 0.7500  4 Hf 2.98, 4 Ho 2.98
Hf1 0.5000 0.5000 0.5000  4 Pt 2.98, 4 Ag 2.98



# 5
## LuPO4 (PBE)

Data for a relaxed structure of LuPO4.

uncorrected formation energy: -3.054 eV/atom
relative energy among the computed polymorphs: 0 meV per atom
space group: No. 141

Cell lengths 5.6756, 5.6756, 5.6756 Å; angles 106.00, 106.00, 116.66 degrees
With the nearest neighbours (Å) after each atom.
Fractional coordinates of all 12 atoms:
O1 0.4139 0.0906 0.6767  1 P 1.55
O2 0.2628 0.5861 0.6767  1 P 1.55
O3 0.8361 0.0128 0.1767  1 P 1.55
O4 0.9872 0.1639 0.8233  1 P 1.55
O5 0.3406 0.1639 0.1767  1 P 1.55
O6 0.9094 0.5861 0.3233  1 P 1.55
O7 0.8361 0.6594 0.8233  1 P 1.55
O8 0.4139 0.7372 0.3233  1 P 1.55
P1 0.0000 0.0000 0.0000  4 O 1.55
P2 0.2500 0.7500 0.5000  4 O 1.55
Lu1 0.7500 0.2500 0.5000  8 O 2.27-2.34
Lu2 0.5000 0.5000 0.0000  8 O 2.27-2.34



# 6
## Dy4CdSe7 (PBE)

Data for a relaxed structure of Dy4CdSe7.

uncorrected formation energy: -1.619 eV/atom
space group: No. 8

Cell lengths 6.9333, 6.9333, 12.1812 Å; angles 75.15, 75.15, 33.49 degrees
With the nearest neighbours (Å) after each atom.
Fractional coordinates of all 12 atoms:
Se1 0.9661 0.9661 0.7889  4 Dy 2.81-2.82
Se2 0.3457 0.3457 0.0451  4 Dy 2.88-2.99
Se3 0.6670 0.6670 0.9450  5 Dy 2.86-3.13
Se4 0.2544 0.2544 0.3488  3 Dy 2.87-3.00, 2 Cd 2.89
Se5 0.4737 0.4737 0.5332  2 Dy 2.82, 2 Cd 2.88
Se6 0.7357 0.7357 0.6446  4 Dy 2.89-3.04, 1 Cd 2.90
Se7 0.0408 0.0408 0.2209  1 Cd 2.76, 3 Dy 2.80-2.88
Dy1 0.3158 0.3158 0.7892  6 Se 2.82-3.08
Dy2 0.7019 0.7019 0.1891  7 Se 2.88-3.13
Dy3 0.1101 0.1101 0.5714  6 Se 2.82-2.89
Dy4 0.0073 0.0073 0.0034  6 Se 2.80-2.88
Cd1 0.8813 0.8813 0.4201  6 Se 2.76-2.90



# 7
## TaAl2Os (PBE)

Data for a relaxed structure of TaAl2Os.

relative energy among the computed polymorphs: 196 meV per atom
space group: No. 47
energy of formation from the pure elements: -189 meV per atom

Cell lengths 3.0687, 4.6279, 4.3782 Å; angles 90.00, 90.00, 90.00 degrees
With the nearest neighbours (Å) after each atom.
Fractional coordinates of all 4 atoms:
Os1 0.5000 0.0000 0.5000  4 Al 2.67, 4 Ta 2.78
Ta1 0.0000 0.5000 0.5000  4 Al 2.67, 4 Os 2.78
Al1 0.5000 0.5000 0.0000  4 Ta 2.67, 4 Al 2.78
Al2 0.0000 0.0000 0.0000  4 Os 2.67, 4 Al 2.78



# 8
## YNb2Rh (PBE)

Data for a relaxed structure of YNb2Rh.

relative energy among the computed polymorphs: 62 meV per atom
space group: No. 122
energy of formation from the pure elements: 216 meV per atom

Cell lengths 7.8462, 7.8462, 6.1990 Å; angles 50.74, 50.74, 90.00 degrees
With the nearest neighbours (Å) after each atom.
Fractional coordinates of all 8 atoms:
Y1 0.2500 0.7500 0.5000  2 Rh 2.77
Y2 0.5000 0.5000 0.0000  2 Rh 2.77
Nb1 0.3750 0.3236 0.7500  2 Rh 2.60, 2 Nb 2.88
Nb2 0.6764 0.1250 0.2500  2 Rh 2.60, 2 Nb 2.88
Nb3 0.8750 0.9264 0.7500  2 Rh 2.60, 2 Nb 2.88
Nb4 0.0736 0.6250 0.2500  2 Rh 2.60, 2 Nb 2.88
Rh1 0.0000 0.0000 0.0000  4 Nb 2.60, 2 Y 2.77
Rh2 0.7500 0.2500 0.5000  4 Nb 2.60, 2 Y 2.77